Below is a relaxed structure of NaSmFeS3, with properties calculated at the PBE-GGA level.

ΔE to the lowest computed polymorph, meV/atom: 24
Calculated volume, Å³/cell: 542.0
M_tot, μB/f.u.: 3.99
E_tot, hartree per atom: -0.209

Cell: 3.9634 12.7733 10.7068 Å, 90.00 90.00 90.00°
With the nearest neighbours (Å) after each atom.
Space group Cmcm (No. 63)
One atom of each set of equivalent atoms:
Na 0.0000 0.2461 0.2500  6 S 3.02-3.03
Sm 0.0000 0.0000 0.0000  6 S 2.78-2.85
Fe 0.0000 0.4734 0.7500  4 S 2.28-2.37
S 0.0000 0.0759 0.7500  2 Fe 2.37
S 0.0000 0.3642 0.5818  1 Fe 2.28